Material: Hf8NiBi2
Method: DFT, PBE-GGA
State: optimized geometry

a = 16.340 Å, b = 4.960 Å, c = 5.895 Å
α = 90.00°, β = 90.31°, γ = 90.00°
Space group C2/m (No. 12)
Symmetry-distinct sites (fractional):
Hf (0.037, 0.000, 0.238) x4
Hf (0.083, 0.500, 0.916) x4
Hf (0.150, 0.500, 0.383) x4
Hf (0.227, 0.000, 0.156) x4
Ni (0.000, 0.500, 0.500) x2
Bi (0.161, 0.000, 0.678) x4

Material: HfNiBi2
Method: DFT, PBE-GGA
State: optimized geometry

a = 3.3696 Å, b = 3.3696 Å, c = 29.4286 Å
α = 90.00°, β = 90.00°, γ = 120.00°
Space group R-3m (No. 166, hexagonal axes)
Symmetry-distinct sites (fractional):
Hf (0.0000, 0.0000, 0.0000) x3
Ni (0.0000, 0.0000, 0.5000) x3
Bi (0.0000, 0.0000, 0.1023) x6

Computed properties:
distance to the lowest polymorph of the same formula	108	meV per atom

no.,formation energy from the elements (kJ/mol of atoms),DFT total energy (eV/atom)
1,-7.8,-8.550
2,34.0,-5.521